Density functional theory data (GGA+U) for BaLa3TiCr3O12 after structural relaxation.

a = 5.5918 Å, b = 11.1898 Å, c = 7.9593 Å
α = 90.00°, β = 90.61°, γ = 90.00°
Sites, in units of the cell vectors:
1 Ba 0.0000 0.0011 0.2500
2 Ba 0.0000 0.9989 0.7500
3 La 0.0000 0.4985 0.2500
4 La 0.0000 0.5015 0.7500
5 La 0.5000 0.2476 0.2500
6 La 0.5000 0.2545 0.7500
7 La 0.5000 0.7455 0.2500
8 La 0.5000 0.7524 0.7500
9 Ti 0.5000 0.0000 0.0000
10 Ti 0.5000 0.0000 0.5000
11 Cr 0.0051 0.2532 0.4997
12 Cr 0.0051 0.7468 0.9997
13 Cr 0.5000 0.5000 0.0000
14 Cr 0.5000 0.5000 0.5000
15 Cr 0.9949 0.2532 0.0003
16 Cr 0.9949 0.7468 0.5003
17 O 0.0000 0.2426 0.2500
18 O 0.0000 0.2791 0.7500
19 O 0.0000 0.7209 0.2500
20 O 0.0000 0.7574 0.7500
21 O 0.1995 0.4008 0.0201
22 O 0.1995 0.5992 0.5201
23 O 0.2401 0.1142 0.5160
24 O 0.2401 0.8858 0.0160
25 O 0.2868 0.1443 0.9829
26 O 0.2868 0.8557 0.4829
27 O 0.3055 0.3510 0.4766
28 O 0.3055 0.6490 0.9766
29 O 0.5000 0.0196 0.2500
30 O 0.5000 0.4713 0.7500
31 O 0.5000 0.5287 0.2500
32 O 0.5000 0.9804 0.7500
33 O 0.6945 0.3510 0.0234
34 O 0.6945 0.6490 0.5234
35 O 0.7132 0.1443 0.5171
36 O 0.7132 0.8557 0.0171
37 O 0.7599 0.1142 0.9840
38 O 0.7599 0.8858 0.4840
39 O 0.8005 0.4008 0.4799
40 O 0.8005 0.5992 0.9799

Properties
N(E_F) = 0.00 states/eV/cell
relative energy among the computed polymorphs = 0.000 eV/atom